Run 1
PBE-GGA NaTl4Au2, relaxed; D(E_F) = 0.416 states/eV per atom; space group = No. 62
1.0
4.154 0.000 0.000
0.000 8.866 0.000
0.000 0.000 20.623
Tl Au Na
16 8 4
Direct
0.250 0.875 0.195 Tl
0.750 0.783 0.323 Tl
0.250 0.357 0.021 Tl
0.250 0.948 0.922 Tl
0.750 0.857 0.479 Tl
0.750 0.643 0.979 Tl
0.750 0.052 0.078 Tl
0.250 0.283 0.177 Tl
0.250 0.217 0.677 Tl
0.250 0.143 0.521 Tl
0.750 0.717 0.823 Tl
0.250 0.552 0.422 Tl
0.250 0.625 0.695 Tl
0.750 0.375 0.305 Tl
0.750 0.448 0.578 Tl
0.750 0.125 0.805 Tl
0.250 0.578 0.257 Au
0.750 0.307 0.444 Au
0.250 0.693 0.556 Au
0.250 0.807 0.056 Au
0.250 0.922 0.757 Au
0.750 0.422 0.743 Au
0.750 0.078 0.243 Au
0.750 0.193 0.944 Au
0.750 0.599 0.142 Na
0.750 0.901 0.642 Na
0.250 0.401 0.858 Na
0.250 0.099 0.358 Na



Run 2
PBE-GGA NaTl4Au2, relaxed; D(E_F) = 0.352 states/eV per atom; space group = No. 65
1.0
-0.108 4.217 0.630
-2.198 0.622 -4.547
-7.126 -1.100 6.141
Tl Au Na
4 2 1
Direct
0.500 0.161 0.323 Tl
0.000 0.313 0.627 Tl
0.500 0.839 0.677 Tl
0.000 0.687 0.373 Tl
0.500 0.427 0.854 Au
0.500 0.573 0.146 Au
0.000 0.000 0.000 Na



Most stable: run 1



Run 1
PBE-GGA Na5TlAu2, relaxed; D(E_F) = 0.382 states/eV per atom; space group = No. 63
1.0
-0.880 -4.357 0.793
2.443 2.717 4.785
-15.775 4.216 5.662
Au Na Tl
4 10 2
Direct
0.746 0.491 0.134 Au
0.746 0.491 0.366 Au
0.254 0.509 0.634 Au
0.254 0.509 0.866 Au
0.047 0.094 0.392 Na
0.953 0.906 0.608 Na
0.341 0.682 0.039 Na
0.341 0.682 0.461 Na
0.953 0.906 0.892 Na
0.047 0.094 0.108 Na
0.659 0.318 0.539 Na
0.541 0.083 0.250 Na
0.459 0.917 0.750 Na
0.659 0.318 0.961 Na
0.265 0.531 0.250 Tl
0.735 0.469 0.750 Tl



Run 2
PBE-GGA Na5TlAu2, relaxed; D(E_F) = 0.545 states/eV per atom; space group = No. 71
1.0
-3.153 3.750 0.998
-3.536 -1.230 5.975
3.114 4.881 4.024
Na Au Tl
5 2 1
Direct
0.000 0.500 0.500 Na
0.313 0.861 0.513 Na
0.313 0.513 0.861 Na
0.687 0.487 0.139 Na
0.687 0.139 0.487 Na
0.317 0.183 0.183 Au
0.683 0.817 0.817 Au
0.000 0.000 0.000 Tl



Most stable: run 1



Run 1
PBE-GGA Na4TlAu, relaxed; D(E_F) = 0.356 states/eV per atom; space group = No. 12
1.0
5.550 0.000 -0.458
0.000 8.026 0.000
-2.106 -4.013 7.940
Na Au Tl
8 2 2
Direct
0.176 0.677 0.354 Na
0.371 0.622 0.738 Na
0.371 0.116 0.738 Na
0.000 0.815 0.000 Na
0.629 0.884 0.262 Na
0.629 0.378 0.262 Na
0.824 0.323 0.646 Na
0.000 0.185 0.000 Na
0.254 0.500 0.000 Au
0.746 0.500 0.000 Au
0.809 0.807 0.613 Tl
0.191 0.193 0.387 Tl



Run 2
PBE-GGA Na4TlAu, relaxed; D(E_F) = 0.464 states/eV per atom; space group = No. 69
1.0
13.014 0.005 -0.003
11.030 5.415 -0.055
1.984 -2.622 4.732
Na Tl Au
8 2 2
Direct
0.337 0.663 0.337 Na
0.663 0.337 0.663 Na
0.804 0.474 0.526 Na
0.206 0.206 0.794 Na
0.794 0.794 0.206 Na
0.196 0.526 0.474 Na
0.526 0.196 0.804 Na
0.474 0.804 0.196 Na
0.932 0.932 0.068 Tl
0.068 0.068 0.932 Tl
0.250 0.250 0.250 Au
0.750 0.750 0.750 Au



Most stable: run 2



Run 1
PBE-GGA Na6TlAu2, relaxed; D(E_F) = 0.331 states/eV per atom; space group = No. 71
1.0
8.098 0.182 -3.276
-4.419 7.323 -1.787
-0.614 -0.182 8.714
Au Na Tl
4 12 2
Direct
0.338 0.000 0.338 Au
0.500 0.374 0.874 Au
0.662 0.000 0.662 Au
0.500 0.626 0.126 Au
0.098 0.289 0.810 Na
0.799 0.752 0.551 Na
0.303 0.968 0.665 Na
0.521 0.711 0.810 Na
0.697 0.362 0.665 Na
0.201 0.752 0.953 Na
0.902 0.711 0.190 Na
0.201 0.248 0.449 Na
0.799 0.248 0.047 Na
0.697 0.032 0.335 Na
0.303 0.638 0.335 Na
0.479 0.289 0.190 Na
0.000 0.500 0.500 Tl
0.000 0.000 0.000 Tl



Run 2
PBE-GGA Na6TlAu2, relaxed; D(E_F) = 0.356 states/eV per atom; space group = No. 12
1.0
-1.308 4.456 1.905
-3.137 -4.397 1.517
5.944 -1.393 7.336
Na Au Tl
6 2 1
Direct
0.057 0.114 0.846 Na
0.370 0.740 0.779 Na
0.315 0.629 0.391 Na
0.630 0.260 0.221 Na
0.685 0.371 0.609 Na
0.943 0.886 0.154 Na
0.738 0.475 0.921 Au
0.262 0.525 0.079 Au
0.000 0.000 0.500 Tl



Most stable: run 1



Run 1
PBE-GGA Na2Tl8Au, relaxed; D(E_F) = 0.566 states/eV per atom; space group = No. 123
1.0
5.030 0.000 0.000
0.000 5.030 0.000
0.000 0.000 12.590
Tl Au Na
8 1 2
Direct
0.500 0.000 0.500 Tl
0.000 0.500 0.867 Tl
0.500 0.500 0.681 Tl
0.500 0.000 0.133 Tl
0.000 0.500 0.500 Tl
0.500 0.500 0.319 Tl
0.500 0.000 0.867 Tl
0.000 0.500 0.133 Tl
0.000 0.000 0.000 Au
0.000 0.000 0.317 Na
0.000 0.000 0.683 Na



Run 2
PBE-GGA Na2Tl8Au, relaxed; D(E_F) = 0.476 states/eV per atom; space group = No. 12
1.0
-4.926 -2.222 -1.241
1.166 -4.886 4.117
-1.366 6.099 6.884
Tl Na Au
8 2 1
Direct
0.657 0.882 0.314 Tl
0.035 0.749 0.069 Tl
0.965 0.251 0.931 Tl
0.343 0.118 0.686 Tl
0.586 0.404 0.171 Tl
0.414 0.596 0.829 Tl
0.843 0.816 0.686 Tl
0.157 0.184 0.314 Tl
0.776 0.328 0.552 Na
0.224 0.672 0.448 Na
0.500 0.000 0.000 Au



Most stable: run 1



Run 1
PBE-GGA Na5Tl2Au, relaxed; D(E_F) = 0.391 states/eV per atom; space group = No. 63
1.0
4.860 0.000 0.000
-2.430 5.590 0.000
0.000 0.000 16.927
Au Na Tl
2 10 4
Direct
0.788 0.576 0.750 Au
0.212 0.424 0.250 Au
0.049 0.098 0.391 Na
0.654 0.307 0.959 Na
0.481 0.962 0.250 Na
0.951 0.902 0.609 Na
0.654 0.307 0.541 Na
0.346 0.693 0.041 Na
0.346 0.693 0.459 Na
0.951 0.902 0.891 Na
0.519 0.038 0.750 Na
0.049 0.098 0.109 Na
0.752 0.503 0.152 Tl
0.248 0.497 0.848 Tl
0.248 0.497 0.652 Tl
0.752 0.503 0.348 Tl



Run 2
PBE-GGA Na5Tl2Au, relaxed; D(E_F) = 0.462 states/eV per atom; space group = No. 139
1.0
-0.484 -2.421 -4.539
-1.399 -4.325 2.456
-6.735 5.635 0.652
Na Tl Au
5 2 1
Direct
0.879 0.379 0.759 Na
0.121 0.621 0.241 Na
0.621 0.121 0.241 Na
0.379 0.879 0.759 Na
0.500 0.500 0.000 Na
0.749 0.749 0.499 Tl
0.251 0.251 0.501 Tl
0.000 0.000 0.000 Au



Most stable: run 1



Run 1
PBE-GGA Na2Tl3Au2, relaxed; D(E_F) = 0.429 states/eV per atom; space group = No. 12
1.0
-2.318 1.006 -3.817
2.227 -5.368 -0.022
-6.881 -0.572 4.028
Tl Au Na
3 2 2
Direct
0.629 0.258 0.448 Tl
0.371 0.742 0.552 Tl
0.500 0.000 0.000 Tl
0.853 0.705 0.788 Au
0.147 0.295 0.212 Au
0.154 0.307 0.810 Na
0.846 0.693 0.190 Na



Run 2
PBE-GGA Na2Tl3Au2, relaxed; D(E_F) = 0.353 states/eV per atom; space group = No. 65
1.0
-0.806 0.291 3.718
4.112 -1.375 0.999
1.409 11.006 -0.556
Tl Au Na
3 2 2
Direct
0.000 0.000 0.000 Tl
0.500 0.580 0.160 Tl
0.500 0.420 0.840 Tl
0.500 0.711 0.423 Au
0.500 0.289 0.577 Au
0.000 0.827 0.654 Na
0.000 0.173 0.346 Na



Most stable: run 2



Run 1
PBE-GGA Na7Tl2Au2, relaxed; D(E_F) = 0.390 states/eV per atom; space group = No. 12
1.0
-2.298 -2.019 4.211
1.086 -8.147 -0.081
5.831 -2.239 5.343
Na Tl Au
7 2 2
Direct
0.360 0.428 0.851 Na
0.640 0.149 0.572 Na
0.851 0.150 0.150 Na
0.149 0.850 0.850 Na
0.360 0.851 0.428 Na
0.500 0.000 0.000 Na
0.640 0.572 0.149 Na
0.846 0.655 0.655 Tl
0.154 0.345 0.345 Tl
0.000 0.743 0.257 Au
0.000 0.257 0.743 Au



Run 2
PBE-GGA Na7Tl2Au2, relaxed; D(E_F) = 0.284 states/eV per atom; space group = No. 65
1.0
-4.945 1.631 -4.743
-5.058 -1.640 4.709
1.004 6.179 3.229
Tl Au Na
2 2 7
Direct
0.164 0.500 0.164 Tl
0.836 0.500 0.836 Tl
0.716 0.000 0.284 Au
0.284 0.000 0.716 Au
0.500 0.743 0.500 Na
0.000 0.262 0.500 Na
0.000 0.000 0.000 Na
0.000 0.738 0.500 Na
0.500 0.257 0.500 Na
0.500 0.262 0.000 Na
0.500 0.738 0.000 Na



Most stable: run 1



Run 1
PBE-GGA Na5Tl2Au2, relaxed; D(E_F) = 0.432 states/eV per atom; space group = No. 46
1.0
-1.298 2.389 -5.437
5.954 -4.707 -3.490
-8.675 -5.745 2.945
Tl Au Na
4 4 10
Direct
0.794 0.494 0.866 Tl
0.428 0.128 0.134 Tl
0.572 0.994 0.866 Tl
0.206 0.628 0.134 Tl
0.500 0.388 0.000 Au
0.700 0.918 0.500 Au
0.300 0.418 0.500 Au
0.000 0.888 0.000 Au
0.715 0.800 0.176 Na
0.825 0.263 0.500 Na
0.961 0.300 0.176 Na
0.039 0.124 0.824 Na
0.746 0.693 0.666 Na
0.254 0.027 0.334 Na
0.285 0.624 0.824 Na
0.175 0.763 0.500 Na
0.581 0.527 0.334 Na
0.419 0.193 0.666 Na



Run 2
PBE-GGA Na5Tl2Au2, relaxed; D(E_F) = 0.472 states/eV per atom; space group = No. 64
1.0
-3.249 5.320 -3.907
0.945 -3.997 -6.229
-8.598 -1.989 4.441
Tl Na Au
4 10 4
Direct
0.500 0.733 0.467 Tl
0.000 0.767 0.533 Tl
0.000 0.233 0.467 Tl
0.500 0.267 0.533 Tl
0.324 0.944 0.238 Na
0.176 0.444 0.238 Na
0.500 0.500 0.000 Na
0.676 0.056 0.762 Na
0.824 0.794 0.238 Na
0.176 0.206 0.762 Na
0.676 0.294 0.238 Na
0.324 0.706 0.762 Na
0.000 0.000 0.000 Na
0.824 0.556 0.762 Na
0.628 0.867 0.000 Au
0.372 0.133 0.000 Au
0.128 0.633 0.000 Au
0.872 0.367 0.000 Au



Most stable: run 1



Run 1
PBE-GGA NaV2Au, relaxed; D(E_F) = 1.511 states/eV per atom; space group = No. 225
1.0
0.000 3.267 3.267
3.267 0.000 3.267
3.267 3.267 0.000
Au V Na
1 2 1
Direct
0.500 0.500 0.500 Au
0.250 0.250 0.250 V
0.750 0.750 0.750 V
0.000 0.000 0.000 Na



Run 2
PBE-GGA NaV2Au, relaxed; D(E_F) = 1.224 states/eV per atom; space group = No. 122
1.0
-4.648 -5.574 2.041
4.777 -1.974 5.488
-1.145 -2.169 5.394
V Au Na
4 2 2
Direct
0.656 0.125 0.250 V
0.875 0.906 0.750 V
0.094 0.625 0.250 V
0.375 0.344 0.750 V
0.750 0.250 0.500 Au
0.000 0.000 0.000 Au
0.500 0.500 0.000 Na
0.250 0.750 0.500 Na



Most stable: run 1